[1]
First-principles (PBE) data for a geometry-optimized K4LaRh structure, as listed in Alexandria.

As for the total energy: -1.882 eV/atom. The calculation puts the density of states at the Fermi level at 1.4576 states/eV per atom.

Lattice parameters (Å, degrees): 6.984 6.984 6.984 60.00 60.00 60.00
Fractional coordinates of all 6 atoms:
K: 0.378 0.378 0.378
K: 0.378 0.378 0.866
K: 0.378 0.866 0.378
K: 0.866 0.378 0.378
La: 0.000 0.000 0.000
Rh: 0.750 0.750 0.750


[2]
First-principles (PBE) data for a geometry-optimized Cs3Ti2Cl9 structure, as listed in Alexandria.

As for the total energy: -4.334 eV/atom. The energy relative to the lowest polymorph listed for this composition comes out at 0 meV/atom. The formation energy (no corrections) is -1836 meV/atom. The calculation puts the density of states at the Fermi level at 0.6419 states/eV per atom.

Lattice parameters (Å, degrees): 7.511 7.511 18.459 90.00 90.00 120.00
Fractional coordinates of all 28 atoms:
Cs: 0.000 0.000 0.250
Cs: 0.000 0.000 0.750
Cs: 0.333 0.667 0.072
Cs: 0.333 0.667 0.428
Cs: 0.667 0.333 0.572
Cs: 0.667 0.333 0.928
Ti: 0.333 0.667 0.666
Ti: 0.333 0.667 0.834
Ti: 0.667 0.333 0.166
Ti: 0.667 0.333 0.334
Cl: 0.030 0.515 0.750
Cl: 0.180 0.361 0.596
Cl: 0.180 0.361 0.904
Cl: 0.180 0.820 0.596
Cl: 0.180 0.820 0.904
Cl: 0.361 0.180 0.096
Cl: 0.361 0.180 0.404
Cl: 0.485 0.515 0.750
Cl: 0.485 0.970 0.750
Cl: 0.515 0.030 0.250
Cl: 0.515 0.485 0.250
Cl: 0.639 0.820 0.596
Cl: 0.639 0.820 0.904
Cl: 0.820 0.180 0.096
Cl: 0.820 0.180 0.404
Cl: 0.820 0.639 0.096
Cl: 0.820 0.639 0.404
Cl: 0.970 0.485 0.250


[3]
First-principles (PBE) data for a geometry-optimized SnBrN3 structure, as listed in Alexandria.

As for the total energy: -3.986 eV/atom. The formation energy (no corrections) is 2144 meV/atom. The calculation puts the density of states at the Fermi level at 1.1510 states/eV per atom.

Lattice parameters (Å, degrees): 4.175 4.175 4.175 90.00 90.00 90.00
Fractional coordinates of all 5 atoms:
Sn: 0.000 0.000 0.000
Br: 0.500 0.500 0.500
N: 0.000 0.000 0.500
N: 0.000 0.500 0.000
N: 0.500 0.000 0.000